A geometry-optimized CsNbIn3 structure, computed with GGA-PBE.

Calculated values
Energy relative to the elements in kJ/mol of formula units: 1012.8
DOS(E_F) in states/eV/f.u.: 11.2
Space group: No. 221
E above lowest polymorph in eV per formula unit: 9.28
Crystal system: cubic
V in Å³ per atom: 42.3

Lattice parameters (Å, degrees): 5.9585 5.9585 5.9585 90.00 90.00 90.00
Fractional positions:
Cs (0.0000, 0.0000, 0.0000)
Nb (0.5000, 0.5000, 0.5000)
In (0.0000, 0.0000, 0.5000)
In (0.0000, 0.5000, 0.0000)
In (0.5000, 0.0000, 0.0000)